A plane-wave DFT calculation with GGA+U was carried out for crystalline ZnFeP2O8 at its relaxed geometry.

The space group is P2_1/m (No. 11) and the conventional cell measures 4.9174, 5.9458 and 9.9721 Å, with angles of 90.00, 90.51 and 90.00 degrees. The distinct sites, in fractional coordinates, are Zn at (0.0770, 0.2500, 0.2165), Fe at (0.4462, 0.2500, 0.7234), P at (0.1085, 0.7500, 0.0962), P at (0.4031, 0.7500, 0.5967), O at (0.1544, 0.7500, 0.9449), O at (0.1953, 0.2500, 0.8737), O at (0.2647, 0.5508, 0.1674), O at (0.2659, 0.5432, 0.6655), O at (0.2862, 0.2500, 0.3848) and O at (0.3430, 0.7500, 0.4445).

Its total energy is -6.568 eV per atom.